# 1
Material: BeMoRhF2
Method: DFT, PBE+U
State: optimized geometry

Calculated values
Total energy ... -22.147 eV/cell
SG ... P4/mmm (123)

Structure (extended XYZ):
```
5
Lattice="4.211 0.000 0.000 0.000 4.211 0.000 0.000 0.000 4.412" Properties=species:S:1:pos:R:3 pbc="T T T"
Be 0.000 0.000 0.000
Mo 2.106 2.106 0.000
Rh 0.000 0.000 2.206
F 0.000 2.106 2.206
F 2.106 0.000 2.206
```

---

# 2
Material: CoTe3O
Method: DFT, PBE+U
State: optimized geometry

Calculated values
Polymorph energy (0 for the lowest one) ... 0.000 eV per formula unit
SG ... Pm-3m (221)

Structure (extended XYZ):
```
5
Lattice="4.804 0.000 0.000 0.000 4.804 0.000 0.000 0.000 4.804" Properties=species:S:1:pos:R:3 pbc="T T T"
Co 0.000 0.000 0.000
Te 0.000 2.402 2.402
Te 2.402 0.000 2.402
Te 2.402 2.402 0.000
O 2.402 2.402 2.402
```